# 1
{
  "formula": "MgAsIrO",
  "functional": "PBE",
  "state": "optimized geometry",
  "lattice": [[3.981, 0.000, 0.000], [0.000, 3.981, 0.000], [0.000, 0.000, 8.840]],
  "species": ["Mg", "Mg", "As", "As", "Ir", "Ir", "O", "O"],
  "fractional_positions": [[0.250, 0.250, 0.002], [0.750, 0.750, 0.998], [0.250, 0.250, 0.664], [0.750, 0.750, 0.336], [0.250, 0.750, 0.500], [0.750, 0.250, 0.500], [0.250, 0.750, 0.000], [0.750, 0.250, 0.000]],
  "relative_energy_ev_per_atom": 0.000,
  "spacegroup": "P4/nmm",
  "magnetic_moment_mub_per_atom": 0.000
}



# 2
{
  "formula": "TmSbN2O",
  "functional": "PBE",
  "state": "optimized geometry",
  "lattice": [[3.527, 0.000, 0.000], [0.000, 6.372, 0.000], [0.000, 0.000, 5.894]],
  "species": ["Tm", "Tm", "Sb", "Sb", "N", "N", "N", "N", "O", "O"],
  "fractional_positions": [[0.000, 0.155, 0.000], [0.000, 0.845, 0.500], [0.500, 0.327, 0.538], [0.500, 0.673, 0.038], [0.000, 0.187, 0.608], [0.000, 0.813, 0.108], [0.500, 0.393, 0.893], [0.500, 0.607, 0.393], [0.500, 0.122, 0.261], [0.500, 0.878, 0.761]],
  "e_tot_ev_per_cell": -70.496,
  "spacegroup": "Pmc2_1",
  "magnetic_moment_mub_per_atom": 0.000
}



# 3
{
  "formula": "PmF",
  "functional": "PBE",
  "state": "optimized geometry",
  "lattice": [[0.000, 2.575, 2.575], [2.575, 0.000, 2.575], [2.575, 2.575, 0.000]],
  "species": ["Pm", "F"],
  "fractional_positions": [[0.000, 0.000, 0.000], [0.500, 0.500, 0.500]],
  "relative_energy_ev_per_atom": 0.102,
  "spacegroup": "Fm-3m",
  "magnetic_moment_mub_per_atom": 0.009
}